Entry 1:
A geometry-optimized RbNdBr2 structure. Source: the Alexandria database, functional PBE-GGA.

Lattice parameters (Å, degrees): 4.009 4.009 11.190 79.68 79.68 60.00
Fractional positions:
Nd (0.500, 0.500, 0.500)
Br (0.105, 0.105, 0.685)
Br (0.895, 0.895, 0.315)
Rb (0.000, 0.000, 0.000)

Output
Its uncorrected energy is -3.477 eV per atom. For the total magnetization, the calculation gives 0.0 μB/cell. Its crystal system is trigonal. The uncorrected formation energy comes out at -1207 meV per atom. For the density of states at the Fermi level, the calculation gives 2.724 states/eV per cell. Its density is 4.25 Mg/m³.

---

Entry 2:
A geometry-optimized Rb5Nd2Br12 structure. Source: the Alexandria database, functional PBE-GGA.

Lattice parameters (Å, degrees): 8.729 10.037 10.037 63.41 79.54 79.54
Fractional positions:
Rb (0.016, 0.248, 0.248)
Rb (0.522, 0.365, 0.365)
Rb (0.500, 0.000, 0.000)
Rb (0.478, 0.635, 0.635)
Rb (0.984, 0.752, 0.752)
Nd (0.000, 0.752, 0.248)
Nd (0.000, 0.248, 0.752)
Br (0.840, 0.084, 0.084)
Br (0.226, 0.157, 0.542)
Br (0.226, 0.542, 0.157)
Br (0.773, 0.094, 0.699)
Br (0.773, 0.699, 0.094)
Br (0.836, 0.457, 0.457)
Br (0.164, 0.543, 0.543)
Br (0.227, 0.906, 0.301)
Br (0.227, 0.301, 0.906)
Br (0.774, 0.843, 0.458)
Br (0.774, 0.458, 0.843)
Br (0.160, 0.916, 0.916)

Output
Its uncorrected energy is -3.472 eV per atom. For the total magnetization, the calculation gives 0.0 μB/cell. Its crystal system is monoclinic. The uncorrected formation energy comes out at -1658 meV per atom. For the density of states at the Fermi level, the calculation gives 14.482 states/eV per cell. Its density is 3.62 Mg/m³.

---

Entry 3:
A geometry-optimized Rb6Nd3Br14 structure. Source: the Alexandria database, functional PBE-GGA.

Lattice parameters (Å, degrees): 7.816 12.132 12.132 120.00 90.00 90.00
Fractional positions:
Rb (0.258, 0.806, 0.094)
Rb (0.258, 0.906, 0.712)
Rb (0.258, 0.288, 0.194)
Rb (0.794, 0.526, 0.551)
Rb (0.794, 0.449, 0.974)
Rb (0.794, 0.026, 0.474)
Nd (0.817, 0.000, 0.000)
Nd (0.351, 0.333, 0.667)
Nd (0.442, 0.667, 0.333)
Br (0.983, 0.083, 0.236)
Br (0.983, 0.764, 0.847)
Br (0.983, 0.153, 0.917)
Br (0.510, 0.239, 0.430)
Br (0.510, 0.570, 0.809)
Br (0.510, 0.191, 0.761)
Br (0.454, 0.000, 0.000)
Br (0.988, 0.333, 0.667)
Br (0.656, 0.758, 0.197)
Br (0.656, 0.803, 0.560)
Br (0.656, 0.440, 0.242)
Br (0.230, 0.578, 0.474)
Br (0.230, 0.526, 0.104)
Br (0.230, 0.896, 0.422)

Output
Its uncorrected energy is -3.621 eV per atom. For the total magnetization, the calculation gives 1.2 μB/cell. Its crystal system is trigonal. The uncorrected formation energy comes out at -1729 meV per atom. For the density of states at the Fermi level, the calculation gives 10.372 states/eV per cell. Its density is 3.44 Mg/m³.

---

Entry 4:
A geometry-optimized Rb2NdBr4 structure. Source: the Alexandria database, functional PBE-GGA.

Lattice parameters (Å, degrees): 5.812 5.812 9.708 107.42 107.42 90.00
Fractional positions:
Nd (0.000, 0.000, 0.000)
Br (0.831, 0.831, 0.663)
Br (0.169, 0.169, 0.337)
Br (0.000, 0.500, 0.000)
Br (0.500, 0.000, 0.000)
Rb (0.638, 0.638, 0.277)
Rb (0.362, 0.362, 0.723)

Output
Its uncorrected energy is -3.535 eV per atom. For the total magnetization, the calculation gives 0.5 μB/cell. Its crystal system is tetragonal. The uncorrected formation energy comes out at -1622 meV per atom. For the density of states at the Fermi level, the calculation gives 3.305 states/eV per cell. Its density is 3.55 Mg/m³.

---

Entry 5:
A geometry-optimized RbNd2Br8 structure. Source: the Alexandria database, functional PBE-GGA.

Lattice parameters (Å, degrees): 8.671 7.625 7.625 73.34 80.89 80.89
Fractional positions:
Rb (0.000, 0.000, 0.000)
Nd (0.462, 0.323, 0.323)
Nd (0.538, 0.677, 0.677)
Br (0.337, 0.661, 0.041)
Br (0.663, 0.959, 0.339)
Br (0.182, 0.229, 0.229)
Br (0.818, 0.771, 0.771)
Br (0.337, 0.041, 0.661)
Br (0.663, 0.339, 0.959)
Br (0.719, 0.444, 0.444)
Br (0.281, 0.556, 0.556)

Output
Its uncorrected energy is -3.788 eV per atom. For the total magnetization, the calculation gives 1.1 μB/cell. Its crystal system is monoclinic. The uncorrected formation energy comes out at -1616 meV per atom. For the density of states at the Fermi level, the calculation gives 5.691 states/eV per cell. Its density is 3.55 Mg/m³.

---

Entry 6:
A geometry-optimized RbNd2Br8 structure. Source: the Alexandria database, functional PBE-GGA.

Lattice parameters (Å, degrees): 5.702 8.668 8.668 116.31 90.04 90.04
Fractional positions:
Rb (0.500, 0.000, 0.000)
Nd (0.000, 0.303, 0.697)
Nd (0.000, 0.697, 0.303)
Br (0.999, 0.943, 0.674)
Br (0.999, 0.674, 0.943)
Br (0.252, 0.501, 0.501)
Br (0.500, 0.741, 0.259)
Br (0.500, 0.259, 0.741)
Br (0.748, 0.499, 0.499)
Br (0.001, 0.326, 0.057)
Br (0.001, 0.057, 0.326)

Output
Its uncorrected energy is -3.854 eV per atom. For the total magnetization, the calculation gives 0.0 μB/cell. Its crystal system is monoclinic. The uncorrected formation energy comes out at -1682 meV per atom. For the density of states at the Fermi level, the calculation gives 5.176 states/eV per cell. Its density is 4.38 Mg/m³.

---

Entry 7:
A geometry-optimized RbNdBr4 structure. Source: the Alexandria database, functional PBE-GGA.

Lattice parameters (Å, degrees): 7.356 8.889 8.850 113.90 107.36 103.50
Fractional positions:
Rb (0.387, 0.637, 0.275)
Rb (0.613, 0.363, 0.725)
Nd (0.247, 0.997, 0.993)
Nd (0.753, 0.003, 0.007)
Br (0.009, 0.202, 0.877)
Br (0.809, 0.741, 0.687)
Br (0.368, 0.675, 0.877)
Br (0.378, 0.946, 0.687)
Br (0.622, 0.054, 0.313)
Br (0.632, 0.325, 0.123)
Br (0.191, 0.259, 0.313)
Br (0.991, 0.798, 0.123)

Output
Its uncorrected energy is -3.875 eV per atom. For the total magnetization, the calculation gives 0.0 μB/cell. Its crystal system is monoclinic. The uncorrected formation energy comes out at -1804 meV per atom. For the density of states at the Fermi level, the calculation gives 0.000 states/eV per cell. Its density is 3.95 Mg/m³.

---

Entry 8:
A geometry-optimized Rb3NdBr8 structure. Source: the Alexandria database, functional PBE-GGA.

Lattice parameters (Å, degrees): 7.769 7.769 9.823 113.29 113.29 90.00
Fractional positions:
Rb (0.750, 0.250, 0.500)
Rb (0.500, 0.500, 0.000)
Rb (0.250, 0.750, 0.500)
Nd (0.000, 0.000, 0.000)
Br (0.334, 0.334, 0.222)
Br (0.334, 0.888, 0.222)
Br (0.112, 0.666, 0.778)
Br (0.112, 0.112, 0.778)
Br (0.888, 0.888, 0.222)
Br (0.888, 0.334, 0.222)
Br (0.666, 0.112, 0.778)
Br (0.666, 0.666, 0.778)

Output
Its uncorrected energy is -3.133 eV per atom. For the total magnetization, the calculation gives 1.4 μB/cell. Its crystal system is tetragonal. The uncorrected formation energy comes out at -1379 meV per atom. For the density of states at the Fermi level, the calculation gives 17.378 states/eV per cell. Its density is 3.51 Mg/m³.

---

Entry 9:
A geometry-optimized RbNd2Br7 structure. Source: the Alexandria database, functional PBE-GGA.

Lattice parameters (Å, degrees): 5.788 8.749 8.749 116.20 90.00 90.00
Fractional positions:
Rb (0.000, 0.000, 0.000)
Nd (0.500, 0.698, 0.302)
Nd (0.500, 0.302, 0.698)
Br (0.000, 0.709, 0.291)
Br (0.000, 0.291, 0.709)
Br (0.500, 0.050, 0.326)
Br (0.500, 0.950, 0.674)
Br (0.500, 0.326, 0.050)
Br (0.500, 0.674, 0.950)
Br (0.500, 0.500, 0.500)

Output
Its uncorrected energy is -4.063 eV per atom. For the total magnetization, the calculation gives 0.0 μB/cell. Its crystal system is orthorhombic. The uncorrected formation energy comes out at -1842 meV per atom. For the density of states at the Fermi level, the calculation gives 0.000 states/eV per cell. Its density is 3.90 Mg/m³.

---

Entry 10:
A geometry-optimized RbNdSBr structure. Source: the Alexandria database, functional PBE-GGA.

Lattice parameters (Å, degrees): 4.171 4.172 8.629 90.03 104.04 119.88
Fractional positions:
Rb (0.492, 0.143, 0.651)
Nd (0.115, 0.956, 0.086)
S (0.328, 0.562, 0.905)
Br (0.943, 0.370, 0.328)

Output
Its uncorrected energy is -4.444 eV per atom. For the total magnetization, the calculation gives 0.0 μB/cell. Its crystal system is monoclinic. The uncorrected formation energy comes out at -1560 meV per atom. For the density of states at the Fermi level, the calculation gives 2.339 states/eV per cell. Its density is 4.54 Mg/m³.

---

Entry 11:
A geometry-optimized RbNdSeBr structure. Source: the Alexandria database, functional PBE-GGA.

Lattice parameters (Å, degrees): 4.269 4.269 8.776 90.01 104.08 119.99
Fractional positions:
Rb (0.486, 0.141, 0.643)
Nd (0.121, 0.959, 0.095)
Se (0.327, 0.561, 0.903)
Br (0.944, 0.370, 0.329)

Output
Its uncorrected energy is -4.231 eV per atom. For the total magnetization, the calculation gives 0.0 μB/cell. Its crystal system is trigonal. The uncorrected formation energy comes out at -1508 meV per atom. For the density of states at the Fermi level, the calculation gives 2.547 states/eV per cell. Its density is 4.85 Mg/m³.

---

Repeat the ninth record exactly.
A geometry-optimized RbNd2Br7 structure. Source: the Alexandria database, functional PBE-GGA.

Lattice parameters (Å, degrees): 5.788 8.749 8.749 116.20 90.00 90.00
Fractional positions:
Rb (0.000, 0.000, 0.000)
Nd (0.500, 0.698, 0.302)
Nd (0.500, 0.302, 0.698)
Br (0.000, 0.709, 0.291)
Br (0.000, 0.291, 0.709)
Br (0.500, 0.050, 0.326)
Br (0.500, 0.950, 0.674)
Br (0.500, 0.326, 0.050)
Br (0.500, 0.674, 0.950)
Br (0.500, 0.500, 0.500)

Output
Its uncorrected energy is -4.063 eV per atom. For the total magnetization, the calculation gives 0.0 μB/cell. Its crystal system is orthorhombic. The uncorrected formation energy comes out at -1842 meV per atom. For the density of states at the Fermi level, the calculation gives 0.000 states/eV per cell. Its density is 3.90 Mg/m³.